(1)
The following is a PBE calculation of Sm10Ge3Sb3 after structural relaxation, from Alexandria via LeMat-Bulk.

Cell lengths 6.5040, 8.9883, 8.9883 Å; angles 120.00, 90.00, 90.00 degrees
Fractional coordinates of all 16 atoms:
Ge (0.5000, 0.6122, 0.6122)
Ge (0.5000, 0.0000, 0.3878)
Ge (0.5000, 0.3878, 0.0000)
Sm (0.7431, 0.6667, 0.3333)
Sm (0.5000, 0.0000, 0.7550)
Sm (0.5000, 0.7550, 0.0000)
Sm (0.0000, 0.7560, 0.7560)
Sm (0.5000, 0.2450, 0.2450)
Sm (0.0000, 0.2440, 0.0000)
Sm (0.2569, 0.3333, 0.6667)
Sm (0.2569, 0.6667, 0.3333)
Sm (0.7431, 0.3333, 0.6667)
Sm (0.0000, 0.0000, 0.2440)
Sb (0.0000, 0.6072, 0.0000)
Sb (0.0000, 0.3928, 0.3928)
Sb (0.0000, 0.0000, 0.6072)

E: -86.9 eV per cell
Formation energy without anion corrections: -841 meV/atom
Crystal system: hexagonal
Space-group type: P-62m

=====

(2)
The following is a PBE calculation of Ce2Ga3Pd after structural relaxation, from Alexandria via LeMat-Bulk.

Cell lengths 3.6242, 4.5036, 7.8115 Å; angles 90.00, 90.00, 90.00 degrees
Fractional coordinates of all 6 atoms:
Ga (0.5000, 0.5000, 0.6671)
Ga (0.5000, 0.0000, 0.8331)
Ga (0.5000, 0.0000, 0.1651)
Ce (0.0000, 0.0000, 0.4914)
Ce (0.0000, 0.5000, 0.0092)
Pd (0.5000, 0.5000, 0.3340)

E: -30.3 eV per cell
Energy of formation: -0.69 eV per atom
Crystal system: orthorhombic
Space-group type: Pmm2

=====

(3)
The following is a PBE calculation of PmDySc2P4 after structural relaxation, from Alexandria via LeMat-Bulk.

Cell lengths 3.9239, 6.7655, 6.7918 Å; angles 70.44, 90.00, 90.00 degrees
Fractional coordinates of all 8 atoms:
P (0.5000, 0.2324, 0.7523)
P (0.0000, 0.7705, 0.7396)
P (0.5000, 0.7676, 0.2477)
P (0.0000, 0.2295, 0.2604)
Dy (0.0000, 0.5000, 0.5000)
Pm (0.5000, 0.5000, 0.0000)
Sc (0.0000, 0.0000, 0.0000)
Sc (0.5000, 0.0000, 0.5000)

E: -55.7 eV per cell
Energy of formation: -1.51 eV per atom
Crystal system: monoclinic
Space-group type: P2/m

=====

(4)
The following is a PBE calculation of YNiP2Cl after structural relaxation, from Alexandria via LeMat-Bulk.

Cell lengths 5.3379, 5.3379, 5.1027 Å; angles 90.00, 90.00, 90.00 degrees
Fractional coordinates of all 5 atoms:
Cl (0.0000, 0.0000, 0.5000)
Y (0.0000, 0.0000, 0.0000)
P (0.0000, 0.5000, 0.0000)
P (0.5000, 0.0000, 0.0000)
Ni (0.5000, 0.5000, 0.5000)

E: -22.1 eV per cell
Formation energy without anion corrections: 567 meV/atom
Crystal system: tetragonal
Space-group type: P4/mmm

=====

(5)
The following is a PBE calculation of SmMg2Pb after structural relaxation, from Alexandria via LeMat-Bulk.

Cell lengths 4.8549, 4.6205, 4.6205 Å; angles 90.00, 90.00, 90.00 degrees
Fractional coordinates of all 4 atoms:
Mg (0.0000, 0.5000, 0.0000)
Mg (0.0000, 0.0000, 0.5000)
Pb (0.5000, 0.5000, 0.5000)
Sm (0.5000, 0.0000, 0.0000)

E: -12.9 eV per cell
Energy of formation: -0.33 eV per atom
Crystal system: tetragonal
Space-group type: P4/mmm

=====

(6)
The following is a PBE calculation of AcErGa4 after structural relaxation, from Alexandria via LeMat-Bulk.

Cell lengths 5.7069, 5.7069, 5.7069 Å; angles 60.00, 60.00, 60.00 degrees
Fractional coordinates of all 6 atoms:
Ac (0.2500, 0.2500, 0.2500)
Er (0.0000, 0.0000, 0.0000)
Ga (0.6253, 0.6253, 0.1242)
Ga (0.1242, 0.6253, 0.6253)
Ga (0.6253, 0.6253, 0.6253)
Ga (0.6253, 0.1242, 0.6253)

E: -23.4 eV per cell
Energy of formation: -0.44 eV per atom
Crystal system: cubic
Space-group type: F-43m

=====

(7)
The following is a PBE calculation of RbCd3Pd after structural relaxation, from Alexandria via LeMat-Bulk.

Cell lengths 7.2698, 7.2698, 7.2698 Å; angles 62.86, 62.86, 62.86 degrees
Fractional coordinates of all 10 atoms:
Cd (0.4396, 0.4396, 0.8534)
Cd (0.4396, 0.8534, 0.4396)
Cd (0.8534, 0.4396, 0.4396)
Cd (0.5604, 0.5604, 0.1466)
Cd (0.1466, 0.5604, 0.5604)
Cd (0.5604, 0.1466, 0.5604)
Rb (0.0978, 0.0978, 0.0978)
Rb (0.9022, 0.9022, 0.9022)
Pd (0.2994, 0.2994, 0.2994)
Pd (0.7006, 0.7006, 0.7006)

E: -19.0 eV per cell
Energy of formation: -0.12 eV per atom
Crystal system: trigonal
Space-group type: R-3m

=====

(8)
The following is a PBE calculation of PuAuCl6 after structural relaxation, from Alexandria via LeMat-Bulk.

Cell lengths 7.0755, 7.0579, 6.9099 Å; angles 59.29, 76.13, 62.01 degrees
Fractional coordinates of all 8 atoms:
Cl (0.2940, 0.2939, 0.0000)
Cl (0.7642, 0.3874, 0.6947)
Cl (0.2358, 0.6126, 0.3053)
Cl (0.2358, 0.9179, 0.6947)
Cl (0.7060, 0.7061, 0.0000)
Cl (0.7642, 0.0821, 0.3053)
Pu (0.5000, 0.5000, 0.0000)
Au (0.0000, 0.0000, 0.0000)

E: -37.5 eV per cell
Formation energy without anion corrections: -1098 meV/atom
Crystal system: monoclinic
Space-group type: C2/m

=====

(9)
The following is a PBE calculation of TaBeNi3 after structural relaxation, from Alexandria via LeMat-Bulk.

Cell lengths 3.9142, 3.9142, 3.9142 Å; angles 90.00, 90.00, 90.00 degrees
Fractional coordinates of all 5 atoms:
Ta (0.5000, 0.5000, 0.5000)
Ni (0.5000, 0.0000, 0.0000)
Ni (0.0000, 0.0000, 0.5000)
Ni (0.0000, 0.5000, 0.0000)
Be (0.0000, 0.0000, 0.0000)

E: -32.2 eV per cell
Energy of formation: 0.14 eV per atom
Crystal system: cubic
Space-group type: Pm-3m

=====

(10)
The following is a PBE calculation of KNaHg5 after structural relaxation, from Alexandria via LeMat-Bulk.

Cell lengths 4.5050, 4.5050, 10.6173 Å; angles 90.00, 90.00, 90.00 degrees
Fractional coordinates of all 7 atoms:
Hg (0.5000, 0.0000, 0.2385)
Hg (0.0000, 0.5000, 0.7615)
Hg (0.5000, 0.0000, 0.7615)
Hg (0.0000, 0.0000, 0.0000)
Hg (0.0000, 0.5000, 0.2385)
Na (0.5000, 0.5000, 0.0000)
K (0.0000, 0.0000, 0.5000)

E: -5.1 eV per cell
Energy of formation: -0.17 eV per atom
Crystal system: tetragonal
Space-group type: P4/mmm

=====

Question: E of number 8 (PuAuCl6)?
Answer: -37.5 eV per cell

=====

Question: What is the formula in the seventh record?
Answer: RbCd3Pd

=====

Question: E of number 6 (AcErGa4)?
Answer: -23.4 eV per cell